Material: ErMgPtPb
Method: DFT, GGA-PBE
State: optimized geometry

Geometry as CIF:
```
data_ErMgPtPb
_chemical_formula_sum 'Er1 Mg1 Pt1 Pb1'
_symmetry_space_group_name_H-M 'P 1'
_symmetry_Int_Tables_number 1
_cell_length_a 4.9788
_cell_length_b 4.9788
_cell_length_c 4.9788
_cell_angle_alpha 60.00
_cell_angle_beta 60.00
_cell_angle_gamma 60.00
loop_
_symmetry_equiv_pos_as_xyz
'x,y,z'
loop_
_atom_site_label
_atom_site_fract_x
_atom_site_fract_y
_atom_site_fract_z
_atom_site_occupancy
Er1 0.0000 0.0000 0.0000 1
Mg1 0.5000 0.5000 0.5000 1
Pt1 0.2500 0.2500 0.2500 1
Pb1 0.7500 0.7500 0.7500 1
```

Summary:
**ΔE_f**: -0.584 eV/atom
**Magnetic moment**: 0.000 μB/atom


Material: Ac3NiAuCl
Method: DFT, GGA-PBE
State: optimized geometry

Geometry as CIF:
```
data_Ac3NiAuCl
_chemical_formula_sum 'Ac6 Ni2 Au2 Cl2'
_symmetry_space_group_name_H-M 'P 1'
_symmetry_Int_Tables_number 1
_cell_length_a 8.7203
_cell_length_b 4.3836
_cell_length_c 10.1470
_cell_angle_alpha 90.00
_cell_angle_beta 104.97
_cell_angle_gamma 90.00
loop_
_symmetry_equiv_pos_as_xyz
'x,y,z'
loop_
_atom_site_label
_atom_site_fract_x
_atom_site_fract_y
_atom_site_fract_z
_atom_site_occupancy
Ac1 0.0574 0.2500 0.3417 1
Ac2 0.2083 0.2500 0.9885 1
Ac3 0.3985 0.7500 0.6224 1
Ac4 0.6015 0.2500 0.3776 1
Ac5 0.7917 0.7500 0.0115 1
Ac6 0.9426 0.7500 0.6583 1
Ni1 0.1697 0.2500 0.6385 1
Ni2 0.8303 0.7500 0.3615 1
Au1 0.2935 0.7500 0.2661 1
Au2 0.7065 0.2500 0.7339 1
Cl1 0.4000 0.7500 0.9078 1
Cl2 0.6000 0.2500 0.0922 1
```

Summary:
**Magnetic moment**: 0.000 μB/atom


no.,E_tot (eV per atom),DOS at the Fermi energy (states/eV per cell)
1,-4.560,3.6
2,-4.638,7.4